# RbAcO

A relaxed structure of RbAcO (PBE-GGA, the Alexandria database).

a = 4.2038 Å, b = 4.2038 Å, c = 8.9549 Å
α = 76.42°, β = 76.42°, γ = 60.00°
Sites, in units of the cell vectors:
Rb 0.3207 0.3207 0.0380
Ac 0.4986 0.4986 0.5041
O 0.1661 0.1661 0.5018

- Energy above the lowest structure with this stoichiometry: 6 meV/atom
- Formation energy (no corrections): -1563 meV/atom
- DOS at the Fermi energy: 2.06 states/eV/cell
- DFT total energy: -4.9076 eV per atom